No. 1
Material: CsTmOs
Method: DFT, GGA-PBE
State: optimized geometry

Its crystal system is cubic. The value obtained for the magnetic moment is 0.00 μB/atom. For the energy above the most stable polymorph in this dataset, the calculation gives 0.0 meV/atom.

Geometry as POSCAR:
```
CsTmOs
1.0
0.0000 3.4965 3.4965
3.4965 0.0000 3.4965
3.4965 3.4965 0.0000
Cs Tm Os
1 1 1
Direct
0.0000 0.0000 0.0000
0.5000 0.5000 0.5000
0.7500 0.7500 0.7500
```

No. 2
Material: Tb2Nd2O5
Method: DFT, GGA-PBE
State: optimized geometry

Its crystal system is tetragonal. The value obtained for the magnetic moment is 0.11 μB/atom. For the energy above the most stable polymorph in this dataset, the calculation gives 95.7 meV/atom.

Geometry as POSCAR:
```
Tb2Nd2O5
1.0
4.3753 0.0000 0.0000
0.0000 4.3753 0.0000
0.0000 0.0000 7.5812
Tb Nd O
2 2 5
Direct
0.0000 0.0000 0.2247
0.0000 0.0000 0.7753
0.5000 0.5000 0.0000
0.5000 0.5000 0.5000
0.0000 0.0000 0.5000
0.0000 0.5000 0.2363
0.0000 0.5000 0.7637
0.5000 0.0000 0.2363
0.5000 0.0000 0.7637
```

No. 3
Material: Tm2Mg3Ir
Method: DFT, GGA-PBE
State: optimized geometry

Its crystal system is hexagonal. The value obtained for the magnetic moment is 0.00 μB/atom. As for the total energy: -4.02 eV per atom.

Geometry as POSCAR:
```
Tm2Mg3Ir
1.0
5.6370 0.0000 0.0000
-2.8185 4.8818 0.0000
0.0000 0.0000 9.3705
Tm Mg Ir
4 6 2
Direct
0.3333 0.6667 0.0541
0.3333 0.6667 0.4459
0.6667 0.3333 0.5541
0.6667 0.3333 0.9459
0.1628 0.3256 0.7500
0.1628 0.8372 0.7500
0.3256 0.1628 0.2500
0.6744 0.8372 0.7500
0.8372 0.1628 0.2500
0.8372 0.6744 0.2500
0.0000 0.0000 0.0000
0.0000 0.0000 0.5000
```

No. 4
Material: TmHfGa4Ni2
Method: DFT, GGA-PBE
State: optimized geometry

Its crystal system is orthorhombic. The value obtained for the magnetic moment is 0.00 μB/atom. As for the total energy: -5.31 eV per atom.

Geometry as POSCAR:
```
TmHfGa4Ni2
1.0
6.4679 0.0000 0.0000
0.0000 2.0497 4.8300
0.0000 -2.0497 4.8300
Tm Hf Ga Ni
1 1 4 2
Direct
0.0000 0.0000 0.0000
0.5000 0.1532 0.1532
0.2044 0.7098 0.7098
0.3041 0.4396 0.4396
0.6959 0.4396 0.4396
0.7956 0.7098 0.7098
0.0000 0.2842 0.2842
0.5000 0.8708 0.8708
```

No. 5
Material: FeSiMoPd
Method: DFT, GGA-PBE
State: optimized geometry

Its crystal system is cubic. The value obtained for the magnetic moment is 0.35 μB/atom. For the energy above the most stable polymorph in this dataset, the calculation gives 0.0 meV/atom.

Geometry as POSCAR:
```
FeSiMoPd
1.0
0.0000 3.0192 3.0192
3.0192 0.0000 3.0192
3.0192 3.0192 0.0000
Fe Si Mo Pd
1 1 1 1
Direct
0.0000 0.0000 0.0000
0.7500 0.7500 0.7500
0.5000 0.5000 0.5000
0.2500 0.2500 0.2500
```

No. 6
Material: YHfAlCu
Method: DFT, GGA-PBE
State: optimized geometry

Its crystal system is cubic. The value obtained for the magnetic moment is 0.31 μB/atom. For the energy above the most stable polymorph in this dataset, the calculation gives 0.0 meV/atom.

Geometry as POSCAR:
```
YHfAlCu
1.0
0.0000 3.4246 3.4246
3.4246 0.0000 3.4246
3.4246 3.4246 0.0000
Y Hf Al Cu
1 1 1 1
Direct
0.0000 0.0000 0.0000
0.2500 0.2500 0.2500
0.5000 0.5000 0.5000
0.7500 0.7500 0.7500
```

No. 7
Material: Dy2Er4TmNi2Te2
Method: DFT, GGA-PBE
State: optimized geometry

Its crystal system is orthorhombic. The value obtained for the magnetic moment is 0.00 μB/atom. For the energy above the most stable polymorph in this dataset, the calculation gives 0.0 meV/atom.

Geometry as POSCAR:
```
Dy2Er4TmNi2Te2
1.0
-1.9137 7.7403 4.7408
1.9137 -7.7403 4.7408
1.9137 7.7403 -4.7408
Dy Er Tm Ni Te
2 4 1 2 2
Direct
0.1464 0.0000 0.1464
0.8536 0.0000 0.8536
0.2195 0.8527 0.3668
0.4635 0.6489 0.8147
0.4858 0.8527 0.6332
0.8342 0.6489 0.1853
0.7696 0.2696 0.5000
0.0792 0.3416 0.7376
0.6041 0.3416 0.2624
0.1070 0.6070 0.5000
0.5048 0.5048 0.0000
```

No. 8
Material: ZrNbAsC
Method: DFT, GGA-PBE
State: optimized geometry

Its crystal system is trigonal. The value obtained for the magnetic moment is 0.00 μB/atom. As for the total energy: -8.95 eV per atom.

Geometry as POSCAR:
```
ZrNbAsC
1.0
3.3964 0.0000 0.0000
-1.6982 2.9413 0.0000
0.0000 0.0000 12.4005
Zr Nb As C
2 2 2 2
Direct
0.3333 0.6667 0.3979
0.6667 0.3333 0.6021
0.3333 0.6667 0.0912
0.6667 0.3333 0.9088
0.3333 0.6667 0.7618
0.6667 0.3333 0.2382
0.0000 0.0000 0.0000
0.0000 0.0000 0.5000
```